# CoIr2Cl (PBE, relaxed)
# E_form (uncorrected)	1.67	eV/f.u.
# calculated density	12.6	g/cm³
# E above lowest polymorph	0.005	eV/atom
data_CoIr2Cl
_cell_length_a 2.804
_cell_length_b 3.491
_cell_length_c 6.442
_cell_angle_alpha 90.00
_cell_angle_beta 90.00
_cell_angle_gamma 90.00
_symmetry_space_group_name_H-M 'P m m 2'
_symmetry_Int_Tables_number 25
loop_
_symmetry_equiv_pos_as_xyz
'x,y,z'
'-x,-y,z'
'-x,y,z'
'x,-y,z'
loop_
_atom_site_label
_atom_site_type_symbol
_atom_site_fract_x
_atom_site_fract_y
_atom_site_fract_z
Co1 Co 0.000 0.000 0.000
Ir1 Ir 0.000 0.000 0.592
Ir2 Ir 0.500 0.500 0.802
Cl1 Cl 0.000 0.500 0.292

***

# InAsPtBr2 (PBE, relaxed)
# E_form (uncorrected)	-0.03	eV/f.u.
# calculated density	6.3	g/cm³
# E above lowest polymorph	0.000	eV/atom
data_InAsPtBr2
_cell_length_a 5.510
_cell_length_b 5.510
_cell_length_c 4.715
_cell_angle_alpha 90.00
_cell_angle_beta 90.00
_cell_angle_gamma 90.00
_symmetry_space_group_name_H-M 'P 4/m m m'
_symmetry_Int_Tables_number 123
_symmetry_space_group_name_Hall '-P 4 2'
loop_
_atom_site_label
_atom_site_type_symbol
_atom_site_fract_x
_atom_site_fract_y
_atom_site_fract_z
In1 In 0.000 0.000 0.000
As1 As 0.500 0.500 0.000
Pt1 Pt 0.500 0.500 0.500
Br1 Br 0.000 0.500 0.500

***

# PaTlSe3 (PBE, relaxed)
# E_form (uncorrected)	-5.14	eV/f.u.
# calculated density	6.7	g/cm³
# E above lowest polymorph	0.061	eV/atom
data_PaTlSe3
_cell_length_a 5.494
_cell_length_b 5.494
_cell_length_c 5.494
_cell_angle_alpha 90.00
_cell_angle_beta 90.00
_cell_angle_gamma 90.00
_symmetry_space_group_name_H-M 'P m -3 m'
_symmetry_Int_Tables_number 221
_symmetry_space_group_name_Hall '-P 4 2 3'
loop_
_atom_site_label
_atom_site_type_symbol
_atom_site_fract_x
_atom_site_fract_y
_atom_site_fract_z
Pa1 Pa 0.000 0.000 0.000
Tl1 Tl 0.500 0.500 0.500
Se1 Se 0.000 0.000 0.500

***

# NaGaGePb (PBE, relaxed)
# calculated density	6.4	g/cm³
# formation enthalpy at 0 K	46.6	meV per atom
data_NaGaGePb
_cell_length_a 7.288
_cell_length_b 7.288
_cell_length_c 7.288
_cell_angle_alpha 90.00
_cell_angle_beta 90.00
_cell_angle_gamma 90.00
_symmetry_space_group_name_H-M 'F -4 3 m'
_symmetry_Int_Tables_number 216
_symmetry_space_group_name_Hall 'F -4 2 3'
loop_
_atom_site_label
_atom_site_type_symbol
_atom_site_fract_x
_atom_site_fract_y
_atom_site_fract_z
Na1 Na 0.000 0.000 0.000
Ga1 Ga 0.250 0.250 0.750
Ge1 Ge 0.000 0.000 0.500
Pb1 Pb 0.250 0.250 0.250

***

# CsPu2Br8 (PBE, relaxed)
# E_form (uncorrected)	-15.52	eV/f.u.
# calculated density	4.8	g/cm³
# E above lowest polymorph	0.000	eV/atom
data_CsPu2Br8
_cell_length_a 6.988
_cell_length_b 6.988
_cell_length_c 8.879
_cell_angle_alpha 90.00
_cell_angle_beta 90.00
_cell_angle_gamma 90.00
_symmetry_space_group_name_H-M 'P 4/m m m'
_symmetry_Int_Tables_number 123
_symmetry_space_group_name_Hall '-P 4 2'
loop_
_atom_site_label
_atom_site_type_symbol
_atom_site_fract_x
_atom_site_fract_y
_atom_site_fract_z
Cs1 Cs 0.000 0.000 0.000
Pu1 Pu 0.000 0.500 0.500
Br1 Br 0.252 0.252 0.309

***

# TiInFeCu (PBE, relaxed)
# calculated density	7.8	g/cm³
# formation enthalpy at 0 K	-29.9	meV per atom
data_TiInFeCu
_cell_length_a 6.224
_cell_length_b 6.224
_cell_length_c 6.224
_cell_angle_alpha 90.00
_cell_angle_beta 90.00
_cell_angle_gamma 90.00
_symmetry_space_group_name_H-M 'F -4 3 m'
_symmetry_Int_Tables_number 216
_symmetry_space_group_name_Hall 'F -4 2 3'
loop_
_atom_site_label
_atom_site_type_symbol
_atom_site_fract_x
_atom_site_fract_y
_atom_site_fract_z
Ti1 Ti 0.000 0.000 0.000
In1 In 0.000 0.000 0.500
Fe1 Fe 0.250 0.250 0.750
Cu1 Cu 0.250 0.250 0.250